Below is a relaxed TlIn2Fe crystal, with properties calculated at the PBE level.

a = 7.2336 Å, b = 7.2336 Å, c = 7.2336 Å
α = 90.00°, β = 90.00°, γ = 90.00°
Space group Fm-3m (No. 225)
Asymmetric unit:
Tl 0.0000 0.0000 0.0000
In 0.2500 0.2500 0.2500
Fe 0.0000 0.0000 0.5000

Calculated values
Offset from the most stable computed form (eV/atom): 0.2978
Total DFT energy (no corrections) (eV/atom): -3.5368
M_tot (μB per atom): 0.76
ΔE_f (eV per atom): 0.540